(1)
Crystalline NbNi8Pt2 at its relaxed geometry, computed with PBE.

The formation enthalpy at 0 K is -11 meV per atom.

abc: 4.385 5.051 7.132
angles: 110.65 107.89 90.05
Positions (direct):
Nb: 0.000 0.000 0.000
Ni: 0.198 0.198 0.396
Ni: 0.250 0.502 0.000
Ni: 0.366 0.099 0.736
Ni: 0.368 0.637 0.735
Ni: 0.632 0.363 0.265
Ni: 0.634 0.901 0.264
Ni: 0.750 0.498 0.000
Ni: 0.802 0.802 0.604
Pt: 0.182 0.682 0.363
Pt: 0.818 0.318 0.637

***

(2)
Crystalline La3NdDy2Te6 at its relaxed geometry, computed with PBE.

The formation energy without anion corrections comes out at -1.47 eV/atom.

abc: 7.769 7.769 7.811
angles: 99.53 99.53 120.24
Positions (direct):
La: 0.000 0.000 0.000
La: 0.339 0.661 0.000
La: 0.661 0.339 0.000
Nd: 0.500 0.500 0.500
Dy: 0.167 0.833 0.500
Dy: 0.833 0.167 0.500
Te: 0.079 0.420 0.261
Te: 0.236 0.236 0.734
Te: 0.420 0.079 0.261
Te: 0.580 0.921 0.739
Te: 0.764 0.764 0.266
Te: 0.921 0.580 0.739

***

(3)
Crystalline Tb2PmPr6Er3 at its relaxed geometry, computed with PBE.

The formation enthalpy at 0 K is 13 meV per atom.

abc: 6.313 6.313 11.907
angles: 95.05 95.05 120.00
Positions (direct):
Tb: 0.167 0.833 0.000
Tb: 0.833 0.167 0.000
Pm: 0.500 0.500 0.000
Pr: 0.082 0.416 0.748
Pr: 0.251 0.251 0.252
Pr: 0.416 0.082 0.748
Pr: 0.584 0.918 0.252
Pr: 0.749 0.749 0.748
Pr: 0.918 0.584 0.252
Er: 0.000 0.000 0.500
Er: 0.333 0.667 0.500
Er: 0.667 0.333 0.500

***

(4)
Crystalline Cs2CdSI6 at its relaxed geometry, computed with PBE.

The formation energy without anion corrections comes out at -0.70 eV/atom.

abc: 8.663 8.663 8.663
angles: 121.53 121.53 87.38
Positions (direct):
Cs: 0.250 0.750 0.500
Cs: 0.750 0.250 0.500
Cd: 0.000 0.000 0.000
S: 0.500 0.500 0.000
I: 0.218 0.218 0.000
I: 0.272 0.272 0.545
I: 0.272 0.728 0.000
I: 0.728 0.272 0.000
I: 0.728 0.728 0.455
I: 0.782 0.782 0.000

***

(5)
Crystalline AlHg3N at its relaxed geometry, computed with PBE.

The formation energy without anion corrections comes out at 1.07 eV/atom.

abc: 5.356 5.356 5.356
angles: 90.00 90.00 90.00
Positions (direct):
Al: 0.000 0.000 0.000
Hg: 0.000 0.000 0.500
Hg: 0.000 0.500 0.000
Hg: 0.500 0.000 0.000
N: 0.500 0.500 0.500

***

(6)
Crystalline PbClF at its relaxed geometry, computed with PBE.

The formation energy without anion corrections comes out at -1.55 eV/atom.

abc: 5.647 5.647 5.647
angles: 142.18 142.18 54.56
Positions (direct):
Pb: 0.000 0.000 0.000
Cl: 0.737 0.737 0.000
F: 0.454 0.454 0.000

***

(7)
Crystalline CaGaRu3 at its relaxed geometry, computed with PBE.

The formation enthalpy at 0 K is 815 meV per atom.

abc: 4.617 4.617 4.617
angles: 90.00 90.00 90.00
Positions (direct):
Ca: 0.000 0.000 0.000
Ga: 0.500 0.500 0.500
Ru: 0.000 0.500 0.500
Ru: 0.500 0.000 0.500
Ru: 0.500 0.500 0.000

***

(8)
Crystalline PrNd5Ga4 at its relaxed geometry, computed with PBE.

The formation enthalpy at 0 K is -428 meV per atom.

abc: 3.670 3.670 20.390
angles: 90.00 90.00 90.00
Positions (direct):
Pr: 0.000 0.000 0.000
Nd: 0.500 0.500 0.134
Nd: 0.500 0.500 0.316
Nd: 0.500 0.500 0.500
Nd: 0.500 0.500 0.684
Nd: 0.500 0.500 0.866
Ga: 0.000 0.000 0.222
Ga: 0.000 0.000 0.408
Ga: 0.000 0.000 0.592
Ga: 0.000 0.000 0.778

***

(9)
Crystalline ZrAgO2 at its relaxed geometry, computed with PBE.

The formation energy without anion corrections comes out at -1.18 eV/atom.

abc: 4.086 4.086 4.086
angles: 60.00 60.00 60.00
Positions (direct):
Zr: 0.000 0.000 0.000
Ag: 0.500 0.500 0.500
O: 0.250 0.250 0.250
O: 0.750 0.750 0.750

***

(10)
Crystalline BaSrUO4 at its relaxed geometry, computed with PBE.

The formation energy without anion corrections comes out at -2.86 eV/atom.

abc: 7.335 7.335 7.335
angles: 144.74 144.74 50.72
Positions (direct):
Ba: 0.000 0.000 0.000
Sr: 0.706 0.706 0.000
U: 0.352 0.352 0.000
O: 0.188 0.188 0.000
O: 0.346 0.846 0.500
O: 0.522 0.522 0.000
O: 0.846 0.346 0.500

***

(11)
Crystalline Tb2Pm3Tm7 at its relaxed geometry, computed with PBE.

The formation enthalpy at 0 K is 90 meV per atom.

abc: 6.293 3.505 17.386
angles: 90.00 96.27 90.00
Positions (direct):
Tb: 0.057 0.000 0.175
Tb: 0.943 0.000 0.825
Pm: 0.452 0.500 0.842
Pm: 0.500 0.000 0.500
Pm: 0.548 0.500 0.158
Tm: 0.000 0.500 0.500
Tm: 0.224 0.000 0.665
Tm: 0.253 0.000 0.000
Tm: 0.272 0.500 0.335
Tm: 0.728 0.500 0.665
Tm: 0.747 0.000 0.000
Tm: 0.776 0.000 0.335